No. 1
Here is crystalline TlHgPd at its relaxed geometry from the Open Quantum Materials Database. Energies are from GGA-PBE.

POSCAR file:
```
TlHgPd
1.0
0.000 3.314 3.314
3.314 0.000 3.314
3.314 3.314 0.000
Tl Pd Hg
1 1 1
direct
0.750 0.750 0.750
0.000 0.000 0.000
0.250 0.250 0.250
```

**Offset from the most stable computed form**: 75 meV/atom
**Mass density**: 11.66 g/cm³

***

No. 2
Here is crystalline K3NaTaSiF13 at its relaxed geometry from the Open Quantum Materials Database. Energies are from GGA-PBE.

POSCAR file:
```
K3NaTaSiF13
1.0
9.129 2.853 -3.083
-1.185 9.903 -1.225
0.620 -7.863 6.227
F Na K Si Ta
26 2 6 2 2
direct
0.870 0.280 0.151
0.140 0.140 0.000
0.370 0.148 0.778
0.661 0.272 0.933
0.654 0.391 0.262
0.634 0.525 0.643
0.118 0.008 0.643
0.860 0.860 0.000
0.370 0.593 0.222
0.871 0.609 0.262
0.870 0.720 0.590
0.339 0.728 0.067
0.634 0.992 0.110
0.882 0.525 0.890
0.882 0.992 0.357
0.661 0.728 0.389
0.630 0.407 0.778
0.130 0.280 0.410
0.366 0.008 0.890
0.339 0.272 0.611
0.630 0.852 0.222
0.130 0.720 0.849
0.366 0.475 0.357
0.346 0.609 0.738
0.129 0.391 0.738
0.118 0.475 0.110
0.000 0.000 0.000
0.500 0.500 0.000
0.580 0.863 0.717
0.420 0.137 0.283
0.870 0.370 0.500
0.854 0.137 0.717
0.130 0.630 0.500
0.146 0.863 0.283
0.238 0.500 0.738
0.762 0.500 0.262
0.728 0.728 0.000
0.272 0.272 0.000
```

**E**: -5.5534 eV/atom
**Mass density**: 4.09 g/cm³

***

No. 3
Here is crystalline TaBe2 at its relaxed geometry from the Open Quantum Materials Database. Energies are from GGA-PBE.

POSCAR file:
```
TaBe2
1.0
0.000 3.261 3.261
3.261 0.000 3.261
3.261 3.261 0.000
Be Ta
4 2
direct
0.625 0.625 0.625
0.625 0.625 0.125
0.625 0.125 0.625
0.125 0.625 0.625
0.250 0.250 0.250
0.000 0.000 0.000
```

**E**: -6.6422 eV/atom
**Mass density**: 9.53 g/cm³

***

No. 4
Here is crystalline TmHf2Al3Cu2Ni at its relaxed geometry from the Open Quantum Materials Database. Energies are from GGA-PBE.

POSCAR file:
```
TmHf2Al3Cu2Ni
1.0
-0.267 2.793 -2.849
1.392 -4.535 -4.576
-6.258 1.152 1.716
Hf Al Cu Ni Tm
2 3 2 1 1
direct
0.000 0.002 0.592
0.000 0.592 0.002
0.500 0.762 0.762
0.500 0.240 0.995
0.500 0.995 0.240
0.500 0.332 0.673
0.500 0.673 0.332
0.000 0.990 0.990
0.000 0.413 0.413
```

**E**: -5.8891 eV/atom
**Mass density**: 8.76 g/cm³

***

No. 5
Here is crystalline TbTm2P3 at its relaxed geometry from the Open Quantum Materials Database. Energies are from GGA-PBE.

POSCAR file:
```
TbTm2P3
1.0
3.975 0.000 0.000
-1.987 3.442 0.000
0.000 0.000 9.725
Tm P Tb
2 3 1
direct
0.667 0.333 0.165
0.333 0.667 0.835
0.333 0.667 0.329
0.667 0.333 0.671
0.000 0.000 0.000
0.000 0.000 0.500
```

**E**: -6.5739 eV/atom
**Mass density**: 7.36 g/cm³

***

No. 6
Here is crystalline LuBeAlPd at its relaxed geometry from the Open Quantum Materials Database. Energies are from GGA-PBE.

POSCAR file:
```
LuBeAlPd
1.0
0.000 3.202 3.202
3.202 0.000 3.202
3.202 3.202 0.000
Lu Pd Al Be
1 1 1 1
direct
0.250 0.250 0.250
0.000 0.000 0.000
0.500 0.500 0.500
0.750 0.750 0.750
```

**Offset from the most stable computed form**: 181 meV/atom
**Mass density**: 8.03 g/cm³

***

No. 7
Here is crystalline KYTe3Au at its relaxed geometry from the Open Quantum Materials Database. Energies are from GGA-PBE.

POSCAR file:
```
KYTe3Au
1.0
16.520 0.000 0.000
0.000 4.312 0.000
0.000 0.000 11.525
Au K Te Y
4 4 12 4
direct
0.985 0.250 0.604
0.015 0.750 0.396
0.485 0.250 0.896
0.515 0.750 0.104
0.731 0.250 0.045
0.769 0.750 0.545
0.231 0.250 0.455
0.269 0.750 0.955
0.093 0.750 0.621
0.398 0.750 0.422
0.593 0.750 0.879
0.102 0.250 0.922
0.907 0.250 0.379
0.858 0.250 0.759
0.602 0.250 0.578
0.407 0.250 0.121
0.898 0.750 0.078
0.358 0.250 0.741
0.142 0.750 0.241
0.642 0.750 0.259
0.480 0.750 0.662
0.020 0.250 0.162
0.980 0.750 0.838
0.520 0.250 0.338
```

**E**: -4.2894 eV/atom
**Mass density**: 5.73 g/cm³

***

No. 8
Here is crystalline FeBr3 at its relaxed geometry from the Open Quantum Materials Database. Energies are from GGA-PBE.

POSCAR file:
```
FeBr3
1.0
4.399 -7.359 2.333
-3.609 -7.986 -1.465
3.384 -5.325 -6.256
Br Fe
12 4
direct
0.952 0.548 0.548
0.298 0.702 0.702
0.702 0.298 0.702
0.702 0.702 0.298
0.548 0.952 0.548
0.298 0.298 0.702
0.702 0.298 0.298
0.298 0.702 0.298
0.952 0.952 0.548
0.952 0.548 0.952
0.548 0.952 0.952
0.548 0.548 0.952
0.125 0.625 0.625
0.625 0.625 0.125
0.625 0.625 0.625
0.625 0.125 0.625
```

**E**: -3.5710 eV/atom
**Mass density**: 3.96 g/cm³

***

No. 9
Here is crystalline ZrBiOsAu at its relaxed geometry from the Open Quantum Materials Database. Energies are from GGA-PBE.

POSCAR file:
```
ZrBiOsAu
1.0
0.000 3.385 3.385
3.385 0.000 3.385
3.385 3.385 0.000
Os Au Bi Zr
1 1 1 1
direct
0.500 0.500 0.500
0.750 0.750 0.750
0.250 0.250 0.250
0.000 0.000 0.000
```

**Offset from the most stable computed form**: 55 meV/atom
**Mass density**: 14.72 g/cm³

***

No. 10
Here is crystalline LuHg2Bi at its relaxed geometry from the Open Quantum Materials Database. Energies are from GGA-PBE.

POSCAR file:
```
LuHg2Bi
1.0
0.000 3.784 3.784
3.784 0.000 3.784
3.784 3.784 0.000
Bi Lu Hg
1 1 2
direct
0.500 0.500 0.500
0.250 0.250 0.250
0.000 0.000 0.000
0.750 0.750 0.750
```

**E**: -2.4652 eV/atom
**Mass density**: 12.04 g/cm³

***

No. 11
Here is crystalline BeAlCd at its relaxed geometry from the Open Quantum Materials Database. Energies are from GGA-PBE.

POSCAR file:
```
BeAlCd
1.0
0.000 2.923 2.923
2.923 0.000 2.923
2.923 2.923 0.000
Al Cd Be
1 1 1
direct
0.250 0.250 0.250
0.750 0.750 0.750
0.000 0.000 0.000
```

**Offset from the most stable computed form**: 0 meV/atom
**Mass density**: 4.93 g/cm³

***

No. 12
Here is crystalline NdBiN2O at its relaxed geometry from the Open Quantum Materials Database. Energies are from GGA-PBE.

POSCAR file:
```
NdBiN2O
1.0
-4.406 3.341 -2.286
-1.014 -5.657 -6.314
-3.863 -2.896 3.215
N Nd Bi O
8 4 4 4
direct
0.699 0.434 0.197
0.801 0.934 0.697
0.199 0.434 0.303
0.199 0.066 0.303
0.301 0.934 0.803
0.699 0.066 0.197
0.301 0.566 0.803
0.801 0.566 0.697
0.062 0.750 0.521
0.438 0.250 0.021
0.562 0.750 0.979
0.938 0.250 0.479
0.500 0.000 0.500
0.000 0.000 0.000
0.500 0.500 0.500
0.000 0.500 0.000
0.048 0.250 0.872
0.452 0.750 0.372
0.952 0.750 0.128
0.548 0.250 0.628
```

**E**: -6.6504 eV/atom
**Mass density**: 8.90 g/cm³

***

No. 13
Here is crystalline RbScZnS3 at its relaxed geometry from the Open Quantum Materials Database. Energies are from GGA-PBE.

POSCAR file:
```
RbScZnS3
1.0
-0.728 -3.878 7.769
-3.072 -1.960 -1.266
5.654 -5.024 -5.944
Rb Sc S Zn
2 2 6 2
direct
0.223 0.250 0.244
0.777 0.750 0.756
0.667 0.250 0.132
0.333 0.750 0.868
0.476 0.750 0.147
0.794 0.250 0.450
0.524 0.250 0.853
0.876 0.750 0.140
0.124 0.250 0.860
0.206 0.750 0.550
0.086 0.250 0.612
0.914 0.750 0.388
```

**E**: -4.9027 eV/atom
**Mass density**: 3.22 g/cm³

***

No. 14
Here is crystalline GaCuSnPt at its relaxed geometry from the Open Quantum Materials Database. Energies are from GGA-PBE.

POSCAR file:
```
GaCuSnPt
1.0
-2.177 1.418 3.784
-4.000 -1.906 1.197
-0.229 -2.736 3.678
Sn Pt Cu Ga
1 1 1 1
direct
0.000 0.000 0.000
0.250 0.250 0.250
0.750 0.750 0.750
0.500 0.500 0.500
```

**Offset from the most stable computed form**: 0 meV/atom
**Mass density**: 10.86 g/cm³

***

No. 15
Here is crystalline KAu at its relaxed geometry from the Open Quantum Materials Database. Energies are from GGA-PBE.

POSCAR file:
```
KAu
1.0
4.664 0.000 0.000
-2.332 4.039 0.000
0.000 0.000 4.180
Au K
1 1
direct
0.667 0.333 0.750
0.333 0.667 0.250
```

**E**: -2.4272 eV/atom
**Mass density**: 4.98 g/cm³

***

No. 16
Here is crystalline NpAlW at its relaxed geometry from the Open Quantum Materials Database. Energies are from GGA-PBE.

POSCAR file:
```
NpAlW
1.0
0.000 3.172 3.172
3.172 0.000 3.172
3.172 3.172 0.000
Al Np W
1 1 1
direct
0.000 0.000 0.000
0.500 0.500 0.500
0.250 0.250 0.250
```

**Offset from the most stable computed form**: 0 meV/atom
**Mass density**: 11.65 g/cm³

***

No. 17
Here is crystalline Pr5Si3N9 at its relaxed geometry from the Open Quantum Materials Database. Energies are from GGA-PBE.

POSCAR file:
```
Pr5Si3N9
1.0
5.279 -5.649 0.000
5.279 5.649 0.000
0.000 0.000 15.904
N Si Pr
36 12 20
direct
0.842 0.158 0.296
0.486 0.780 0.998
0.008 0.741 0.259
0.759 0.492 0.241
0.158 0.842 0.704
0.780 0.486 0.002
0.014 0.720 0.498
0.720 0.014 0.502
0.986 0.280 0.502
0.723 0.277 0.623
0.508 0.241 0.241
0.273 0.202 0.846
0.777 0.223 0.123
0.773 0.702 0.654
0.741 0.008 0.741
0.365 0.635 0.549
0.280 0.986 0.498
0.202 0.273 0.154
0.865 0.135 0.951
0.135 0.865 0.049
0.702 0.773 0.346
0.727 0.798 0.154
0.223 0.777 0.877
0.277 0.723 0.377
0.992 0.259 0.741
0.259 0.992 0.259
0.241 0.508 0.759
0.635 0.365 0.451
0.514 0.220 0.002
0.492 0.759 0.759
0.220 0.514 0.998
0.342 0.658 0.204
0.658 0.342 0.796
0.298 0.227 0.654
0.798 0.727 0.846
0.227 0.298 0.346
0.260 0.740 0.983
0.760 0.240 0.517
0.786 0.714 0.250
0.286 0.214 0.250
0.273 0.727 0.774
0.240 0.760 0.483
0.214 0.286 0.750
0.714 0.786 0.750
0.727 0.273 0.226
0.773 0.227 0.726
0.740 0.260 0.017
0.227 0.773 0.274
0.988 0.012 0.166
0.296 0.296 0.500
0.493 0.507 0.888
0.007 0.993 0.388
0.532 0.047 0.869
0.453 0.968 0.631
0.968 0.453 0.369
0.012 0.988 0.834
0.507 0.493 0.112
0.204 0.204 0.000
0.796 0.796 0.000
0.032 0.547 0.631
0.704 0.704 0.500
0.488 0.512 0.334
0.547 0.032 0.369
0.993 0.007 0.612
0.468 0.953 0.131
0.953 0.468 0.869
0.047 0.532 0.131
0.512 0.488 0.666
```

**E**: -8.0481 eV/atom
**Mass density**: 6.41 g/cm³

***

No. 18
Here is crystalline LaGdAg2 at its relaxed geometry from the Open Quantum Materials Database. Energies are from GGA-PBE.

POSCAR file:
```
LaGdAg2
1.0
-1.147 0.350 4.728
7.107 -1.405 1.828
1.168 5.722 -0.140
Gd Ag La
2 4 2
direct
0.500 0.933 0.353
0.000 0.067 0.853
0.500 0.268 0.646
0.000 0.732 0.146
0.000 0.195 0.357
0.500 0.805 0.857
0.500 0.432 0.144
0.000 0.568 0.644
```

**E**: -4.0874 eV/atom
**Mass density**: 7.99 g/cm³

***

No. 19
Here is crystalline Dy4SnPbC2 at its relaxed geometry from the Open Quantum Materials Database. Energies are from GGA-PBE.

POSCAR file:
```
Dy4SnPbC2
1.0
3.625 0.000 0.000
-1.812 3.139 0.000
0.000 0.000 16.006
Dy Sn C Pb
4 1 2 1
direct
0.333 0.667 0.331
0.333 0.667 0.669
0.000 0.000 0.836
0.000 0.000 0.164
0.333 0.667 0.000
0.667 0.333 0.249
0.667 0.333 0.751
0.000 0.000 0.500
```

**E**: -6.0848 eV/atom
**Mass density**: 9.12 g/cm³

***

No. 20
Here is crystalline GdPuPa at its relaxed geometry from the Open Quantum Materials Database. Energies are from GGA-PBE.

POSCAR file:
```
GdPuPa
1.0
0.000 3.519 3.519
3.519 0.000 3.519
3.519 3.519 0.000
Pu Pa Gd
1 1 1
direct
0.000 0.000 0.000
0.750 0.750 0.750
0.250 0.250 0.250
```

**E**: -8.7003 eV/atom
**Mass density**: 12.05 g/cm³